[1]
# Hg2SeCl (PBE-GGA, relaxed)
data_Hg2SeCl
_symmetry_space_group_name_H-M 'P 1'
_symmetry_Int_Tables_number 1
_symmetry_space_group_name_Hall 'P 1'
_cell_length_a 5.090
_cell_length_b 5.090
_cell_length_c 5.090
_cell_angle_alpha 60.00
_cell_angle_beta 60.00
_cell_angle_gamma 60.00
loop_
_atom_site_label
_atom_site_type_symbol
_atom_site_fract_x
_atom_site_fract_y
_atom_site_fract_z
Hg1 Hg 0.000 0.000 0.000
Se1 Se 0.750 0.750 0.750
Hg2 Hg 0.250 0.250 0.250
Cl1 Cl 0.500 0.500 0.500
# - ΔE_f (raw): 206 meV/atom
# - Energy above the lowest structure with this stoichiometry: 0.446 eV per atom
# - DOS at the Fermi energy: 0.991 states/eV per atom

[2]
# Hg2SeCl (PBE-GGA, relaxed)
data_Hg2SeCl
_symmetry_space_group_name_H-M 'P 1'
_symmetry_Int_Tables_number 1
_symmetry_space_group_name_Hall 'P 1'
_cell_length_a 6.238
_cell_length_b 6.238
_cell_length_c 8.271
_cell_angle_alpha 67.84
_cell_angle_beta 67.84
_cell_angle_gamma 90.00
loop_
_atom_site_label
_atom_site_type_symbol
_atom_site_fract_x
_atom_site_fract_y
_atom_site_fract_z
Hg1 Hg 0.661 0.125 0.250
Cl1 Cl 0.500 0.500 0.000
Hg2 Hg 0.875 0.911 0.750
Cl2 Cl 0.250 0.750 0.500
Se1 Se 0.000 0.000 0.000
Se2 Se 0.750 0.250 0.500
Hg3 Hg 0.089 0.625 0.250
Hg4 Hg 0.375 0.339 0.750
# - ΔE_f (raw): -211 meV/atom
# - Energy above the lowest structure with this stoichiometry: 0.029 eV per atom
# - DOS at the Fermi energy: 0.069 states/eV per atom

[3]
# HgSe2Cl (PBE-GGA, relaxed)
data_HgSe2Cl
_symmetry_space_group_name_H-M 'P 1'
_symmetry_Int_Tables_number 1
_symmetry_space_group_name_Hall 'P 1'
_cell_length_a 7.159
_cell_length_b 7.159
_cell_length_c 7.159
_cell_angle_alpha 32.84
_cell_angle_beta 32.84
_cell_angle_gamma 32.84
loop_
_atom_site_label
_atom_site_type_symbol
_atom_site_fract_x
_atom_site_fract_y
_atom_site_fract_z
Se1 Se 0.490 0.490 0.490
Cl1 Cl 0.250 0.250 0.250
Hg1 Hg 0.750 0.750 0.750
Se2 Se 0.010 0.010 0.010
# - ΔE_f (raw): 191 meV/atom
# - Energy above the lowest structure with this stoichiometry: 0.340 eV per atom
# - DOS at the Fermi energy: 0.874 states/eV per atom

[4]
# Hg2SeCl (PBE-GGA, relaxed)
data_Hg2SeCl
_symmetry_space_group_name_H-M 'P 1'
_symmetry_Int_Tables_number 1
_symmetry_space_group_name_Hall 'P 1'
_cell_length_a 7.109
_cell_length_b 7.109
_cell_length_c 7.109
_cell_angle_alpha 34.65
_cell_angle_beta 34.65
_cell_angle_gamma 34.65
loop_
_atom_site_label
_atom_site_type_symbol
_atom_site_fract_x
_atom_site_fract_y
_atom_site_fract_z
Cl1 Cl 0.750 0.750 0.750
Se1 Se 0.250 0.250 0.250
Hg1 Hg 0.509 0.509 0.509
Hg2 Hg 0.991 0.991 0.991
# - ΔE_f (raw): -205 meV/atom
# - Energy above the lowest structure with this stoichiometry: 0.035 eV per atom
# - DOS at the Fermi energy: 0.315 states/eV per atom

Sequential final energy output: -1.2775; -1.6943; -2.0888; -1.6884 eV per atom